Material: Zr2SiHg
Method: DFT, GGA-PBEsol
State: relaxed

Geometry as extended XYZ:
```
4
Lattice="3.069 -4.023 0.000 3.069 4.023 0.000 0.000 0.000 3.059" Properties=species:S:1:pos:R:3 pbc="T T T"
Zr 1.535 2.011 0.000
Zr 1.535 -2.011 0.000
Si 0.000 0.000 1.530
Hg 3.069 0.000 1.530
```

Calculated values
energy: -6.553 eV per atom
crystal system: orthorhombic
N(E_F): 0.5623 states/eV/atom
raw formation energy: -1.7 eV/f.u.